No. 1
Here is a relaxed FeCu2Pt crystal from Alexandria via LeMat-Bulk. Energies are from PBE-GGA.

abc: 4.553 4.553 4.553
angles: 131.23 131.23 71.45
Each line ends with the local moment (μB).
Atoms (fractional coordinates):
Cu: 0.000 0.000 0.000  0.07
Cu: 0.250 0.750 0.500  0.09
Fe: 0.500 0.500 0.000  2.99
Pt: 0.750 0.250 0.500  0.29

ΔH_f (0 K): -0.08 eV/atom
Uncorrected energy: -5.756 eV per atom
Space group: I-4m2, No. 119

No. 2
Here is a relaxed BeRe5 crystal from Alexandria via LeMat-Bulk. Energies are from PBE-GGA.

abc: 5.103 5.103 5.103
angles: 60.00 60.00 60.00
Atoms (fractional coordinates):
Re: 0.374 0.374 0.878
Re: 0.750 0.750 0.750
Re: 0.374 0.374 0.374
Re: 0.374 0.878 0.374
Re: 0.878 0.374 0.374
Be: 0.000 0.000 0.000

ΔH_f (0 K): 0.62 eV/atom
Uncorrected energy: -10.371 eV per atom
Energy relative to the lowest polymorph listed for this composition: 586 meV/atom
Space group: F-43m, No. 216

No. 3
Here is a relaxed Ti6GaC crystal from Alexandria via LeMat-Bulk. Energies are from PBE-GGA.

abc: 5.095 5.095 5.096
angles: 79.91 100.08 79.91
Atoms (fractional coordinates):
Ti: 0.919 0.659 0.237
Ti: 0.237 0.081 0.341
Ti: 0.659 0.237 0.081
Ti: 0.081 0.341 0.763
Ti: 0.763 0.919 0.659
Ti: 0.341 0.763 0.919
C: 0.000 0.000 0.000
Ga: 0.500 0.500 0.500

ΔH_f (0 K): -0.33 eV/atom
Uncorrected energy: -7.779 eV per atom
Space group: R-3, No. 148

No. 4
Here is a relaxed SnRuBr3 crystal from Alexandria via LeMat-Bulk. Energies are from PBE-GGA.

abc: 5.070 5.070 5.070
angles: 90.00 90.00 90.00
Atoms (fractional coordinates):
Br: 0.000 0.000 0.500
Br: 0.000 0.500 0.000
Br: 0.500 0.000 0.000
Ru: 0.000 0.000 0.000
Sn: 0.500 0.500 0.500

Uncorrected energy: -3.526 eV per atom
Uncorrected formation energy: 0.13 eV/atom
Energy relative to the lowest polymorph listed for this composition: 0 meV/atom
Space group: Pm-3m, No. 221

No. 5
Here is a relaxed CsNdSeS crystal from Alexandria via LeMat-Bulk. Energies are from PBE-GGA.

abc: 4.309 4.309 8.727
angles: 90.00 104.30 120.00
Atoms (fractional coordinates):
Se: 0.098 0.947 0.060
Cs: 0.969 0.382 0.366
S: 0.514 0.155 0.684
Nd: 0.297 0.547 0.859

Uncorrected energy: -5.053 eV per atom
Uncorrected formation energy: -1.74 eV/atom
Space group: R3m, No. 160

No. 6
Here is a relaxed K2CaYCu crystal from Alexandria via LeMat-Bulk. Energies are from PBE-GGA.

abc: 7.088 7.088 6.379
angles: 90.00 90.00 90.00
Each line ends with the local moment (μB).
Atoms (fractional coordinates):
Ca: 0.000 0.000 0.500  0.26
K: 0.000 0.500 0.000  0.04
K: 0.500 0.000 0.000  0.04
Cu: 0.500 0.500 0.500  0.00
Y: 0.000 0.000 0.000  1.00

ΔH_f (0 K): 1.24 eV/atom
Uncorrected energy: -1.716 eV per atom
Space group: P4/mmm, No. 123

No. 7
Here is a relaxed Li2CaSi crystal from Alexandria via LeMat-Bulk. Energies are from PBE-GGA.

abc: 3.579 3.579 6.564
angles: 90.00 90.00 90.00
Each line ends with the local moment (μB).
Atoms (fractional coordinates):
Si: 0.500 0.500 0.250  0.02
Li: 0.000 0.000 0.437  0.02
Li: 0.000 0.000 0.063  0.02
Ca: 0.500 0.500 0.750  0.07

Uncorrected energy: -2.813 eV per atom
Uncorrected formation energy: 0.00 eV/atom
Space group: P4/mmm, No. 123

No. 8
Here is a relaxed NaZrNbP3O12 crystal from Alexandria via LeMat-Bulk. Energies are from PBE-GGA.

abc: 9.136 9.136 9.136
angles: 58.47 58.47 58.47
Each line ends with the local moment (μB).
Atoms (fractional coordinates):
Nb: 0.354 0.354 0.354  0.84
Nb: 0.854 0.854 0.854  0.84
O: 0.722 0.079 0.940  0.00
O: 0.510 0.289 0.121  0.00
O: 0.281 0.911 0.065  0.00
O: 0.440 0.579 0.222  0.00
O: 0.940 0.722 0.079  0.00
O: 0.205 0.998 0.381  0.00
O: 0.121 0.510 0.289  0.00
O: 0.289 0.121 0.510  0.00
O: 0.881 0.498 0.705  0.00
O: 0.781 0.565 0.411  0.00
O: 0.705 0.881 0.498  0.00
O: 0.565 0.411 0.781  0.00
O: 0.222 0.440 0.579  0.00
O: 0.079 0.940 0.722  0.00
O: 0.621 0.789 0.010  0.00
O: 0.065 0.281 0.911  0.00
O: 0.789 0.010 0.621  0.00
O: 0.498 0.705 0.881  0.00
O: 0.411 0.781 0.565  0.00
O: 0.998 0.381 0.205  0.00
O: 0.381 0.205 0.998  0.00
O: 0.911 0.065 0.281  0.00
O: 0.010 0.621 0.789  0.00
O: 0.579 0.222 0.440  0.00
P: 0.543 0.246 0.961  0.01
P: 0.961 0.543 0.246  0.01
P: 0.461 0.746 0.043  0.01
P: 0.043 0.461 0.746  0.01
P: 0.246 0.961 0.543  0.01
P: 0.746 0.043 0.461  0.01
Zr: 0.644 0.644 0.644  0.02
Zr: 0.144 0.144 0.144  0.02
Na: 0.998 0.998 0.998  0.00
Na: 0.498 0.498 0.498  0.00

Uncorrected energy: -7.820 eV per atom
Uncorrected formation energy: -2.51 eV/atom
Space group: R3c, No. 161

No. 9
Here is a relaxed Ac2TbCu crystal from Alexandria via LeMat-Bulk. Energies are from PBE-GGA.

abc: 3.788 3.788 12.035
angles: 80.94 80.94 60.00
Atoms (fractional coordinates):
Ac: 0.082 0.082 0.754
Ac: 0.918 0.918 0.246
Tb: 0.500 0.500 0.500
Cu: 0.000 0.000 0.000

ΔH_f (0 K): 0.47 eV/atom
Uncorrected energy: -3.767 eV per atom
Energy relative to the lowest polymorph listed for this composition: 469 meV/atom
Space group: R-3m, No. 166

No. 10
Here is a relaxed TaCdAg2Br crystal from Alexandria via LeMat-Bulk. Energies are from PBE-GGA.

abc: 5.250 5.623 5.250
angles: 90.00 90.00 90.00
Atoms (fractional coordinates):
Cd: 0.000 0.500 0.000
Ta: 0.000 0.000 0.000
Ag: 0.000 0.000 0.500
Ag: 0.500 0.000 0.000
Br: 0.500 0.500 0.500

Uncorrected energy: -2.799 eV per atom
Uncorrected formation energy: 1.23 eV/atom
Space group: P4/mmm, No. 123

No. 11
Here is a relaxed Sc3Cu3Ni2 crystal from Alexandria via LeMat-Bulk. Energies are from PBE-GGA.

abc: 3.357 6.607 6.607
angles: 120.00 90.00 90.00
Atoms (fractional coordinates):
Cu: 0.000 0.772 0.772
Cu: 0.000 0.000 0.228
Cu: 0.000 0.228 0.000
Ni: 0.000 0.333 0.667
Ni: 0.000 0.667 0.333
Sc: 0.500 0.405 0.405
Sc: 0.500 0.595 0.000
Sc: 0.500 0.000 0.595

ΔH_f (0 K): -0.33 eV/atom
Uncorrected energy: -5.682 eV per atom
Space group: P-62m, No. 189

No. 12
Here is a relaxed ZnIBrN2 crystal from Alexandria via LeMat-Bulk. Energies are from PBE-GGA.

abc: 4.014 4.014 7.655
angles: 90.00 90.00 90.00
Each line ends with the local moment (μB).
Atoms (fractional coordinates):
N: 0.500 0.000 0.000  0.47
N: 0.000 0.500 0.000  0.47
Zn: 0.500 0.500 0.500  0.00
Br: 0.000 0.000 0.000  -0.06
I: 0.000 0.000 0.500  0.00

Uncorrected energy: -2.381 eV per atom
Uncorrected formation energy: 1.85 eV/atom
Energy relative to the lowest polymorph listed for this composition: 341 meV/atom
Space group: P4/mmm, No. 123

> Look up the uncorrected energy of the fourth one.

-3.526 eV per atom

> What is the uncorrected energy in the ninth record?

-3.767 eV per atom

> What is the formula in the sixth record?

K2CaYCu